! Mn3ClO3 | the Alexandria database | PBE with a Hubbard U | optimized geometry; values from VASP
! Electronic total energy ... -0.5147 Ry per atom
! Density ... 3777 kg/m3
! Symmetry ... No. 148
! Density of states at the Fermi level ... 3.3 states/eV/f.u.
&SYSTEM
  ibrav = 0, nat = 14, ntyp = 3
/
ATOMIC_SPECIES
Mn 54.94 Mn.upf
Cl 35.45 Cl.upf
O 16.00 O.upf
ATOMIC_POSITIONS angstrom
Mn 4.472 3.935 8.035
Mn 4.589 0.539 7.220
Mn 1.708 2.399 6.547
Mn 6.391 2.771 5.673
Mn 3.510 4.630 5.000
Mn 3.627 1.235 4.185
Cl 5.515 3.520 10.572
Cl 2.584 1.649 1.648
O 2.547 2.947 4.471
O 5.396 1.070 5.127
O 5.312 4.444 5.949
O 2.787 0.725 6.271
O 2.703 4.100 7.094
O 5.552 2.223 7.750
CELL_PARAMETERS angstrom
5.594 0.000 2.223
2.355 5.074 2.224
0.149 0.095 7.774